Compound: Ce3SmPu2As6
Source: Alexandria
Functional: PBE
Structure: optimized geometry

a = 7.2695 Å, b = 7.2695 Å, c = 7.2453 Å
α = 99.63°, β = 99.63°, γ = 120.00°
With the nearest neighbours (Å) after each atom.
Element x y z (fractional)
Ce 0.1658 0.8342 0.5000  6 As 2.96-2.98
Ce 0.8342 0.1658 0.5000  6 As 2.96-2.98
Ce 0.5000 0.5000 0.5000  6 As 2.95-2.98
Sm 0.0000 0.0000 0.0000  6 As 2.98
Pu 0.3331 0.6669 0.0000  6 As 2.95
Pu 0.6669 0.3331 0.0000  6 As 2.95
As 0.9172 0.5803 0.7518  2 Pu 2.95, 3 Ce 2.96-2.98, 1 Sm 2.98
As 0.7457 0.7457 0.2479  2 Pu 2.95, 3 Ce 2.95-2.98, 1 Sm 2.98
As 0.0828 0.4197 0.2482  2 Pu 2.95, 3 Ce 2.96-2.98, 1 Sm 2.98
As 0.5803 0.9172 0.7518  2 Pu 2.95, 3 Ce 2.96-2.98, 1 Sm 2.98
As 0.2543 0.2543 0.7521  2 Pu 2.95, 3 Ce 2.95-2.98, 1 Sm 2.98
As 0.4197 0.0828 0.2482  2 Pu 2.95, 3 Ce 2.96-2.98, 1 Sm 2.98

Computed properties:
ΔE_f = -15.756 eV/f.u.
Total magnetic moment = 12.49 Bohr magnetons per cell
Raw total energy = -94.84 eV/cell
Theoretical density = 8.015 g cm⁻³
D(E_F) = 31.67 states/eV/f.u.